# Mo3WSe2S6 | Alexandria via LeMat-Bulk | GGA-PBE | relaxed
data_Mo3WSe2S6
_chemical_formula_sum 'Mo3 W1 Se2 S6'
_space_group_name_H-M_alt 'P 1'
_space_group_IT_number 1
_cell_length_a 3.221
_cell_length_b 3.221
_cell_length_c 28.554
_cell_angle_alpha 90.00
_cell_angle_beta 90.00
_cell_angle_gamma 120.00
loop_
_space_group_symop_operation_xyz
'x,y,z'
loop_
_atom_site_label
_atom_site_type_symbol
_atom_site_fract_x
_atom_site_fract_y
_atom_site_fract_z
Mo1 Mo 0.000 0.000 0.000
Mo2 Mo 0.000 0.000 0.497
Mo3 Mo 0.333 0.667 0.246
W1 W 0.333 0.667 0.752
Se1 Se 0.333 0.667 0.437
Se2 Se 0.333 0.667 0.557
S1 S 0.000 0.000 0.192
S2 S 0.000 0.000 0.301
S3 S 0.000 0.000 0.697
S4 S 0.000 0.000 0.807
S5 S 0.333 0.667 0.054
S6 S 0.333 0.667 0.946
# Calculated volume ... 21.4 Å³ per atom
# SG ... P3m1
# DFT total energy ... -86.838 eV for the cell shown

# Li2Mg2Ag | Alexandria via LeMat-Bulk | GGA-PBE | relaxed
data_Li2Mg2Ag
_chemical_formula_sum 'Li2 Mg2 Ag1'
_space_group_name_H-M_alt 'P 1'
_space_group_IT_number 1
_cell_length_a 5.624
_cell_length_b 5.624
_cell_length_c 5.624
_cell_angle_alpha 49.37
_cell_angle_beta 49.37
_cell_angle_gamma 49.37
loop_
_space_group_symop_operation_xyz
'x,y,z'
loop_
_atom_site_label
_atom_site_type_symbol
_atom_site_fract_x
_atom_site_fract_y
_atom_site_fract_z
Li1 Li 0.190 0.190 0.190
Li2 Li 0.810 0.810 0.810
Mg1 Mg 0.394 0.394 0.394
Mg2 Mg 0.606 0.606 0.606
Ag1 Ag 0.000 0.000 0.000
# Calculated formation energy ... -0.169 eV per atom
# Calculated volume ... 18.8 Å³ per atom
# SG ... R-3m
# D(E_F) ... 0.426 states/eV per atom
# DFT total energy ... -10.713 eV for the cell shown

What did the second record say?
# Li2Mg2Ag | Alexandria via LeMat-Bulk | GGA-PBE | relaxed
data_Li2Mg2Ag
_chemical_formula_sum 'Li2 Mg2 Ag1'
_space_group_name_H-M_alt 'P 1'
_space_group_IT_number 1
_cell_length_a 5.624
_cell_length_b 5.624
_cell_length_c 5.624
_cell_angle_alpha 49.37
_cell_angle_beta 49.37
_cell_angle_gamma 49.37
loop_
_space_group_symop_operation_xyz
'x,y,z'
loop_
_atom_site_label
_atom_site_type_symbol
_atom_site_fract_x
_atom_site_fract_y
_atom_site_fract_z
Li1 Li 0.190 0.190 0.190
Li2 Li 0.810 0.810 0.810
Mg1 Mg 0.394 0.394 0.394
Mg2 Mg 0.606 0.606 0.606
Ag1 Ag 0.000 0.000 0.000
# Calculated formation energy ... -0.169 eV per atom
# Calculated volume ... 18.8 Å³ per atom
# SG ... R-3m
# D(E_F) ... 0.426 states/eV per atom
# DFT total energy ... -10.713 eV for the cell shown